No. 1
VASP calculation (PBE) on a relaxed structure of AcGa3H12.

Lattice parameters (Å, degrees): 6.5617 8.9508 8.9508 120.00 90.00 90.00
Closest atoms and distances in Å follow each position.
Element x y z (fractional)
Ac 0.7500 0.6667 0.3333  12 H 2.52-2.70
Ac 0.2500 0.3333 0.6667  12 H 2.52-2.70
Ga 0.2500 0.9229 0.5640  4 H 1.59-1.62
Ga 0.2500 0.6412 0.0771  4 H 1.59-1.62
Ga 0.2500 0.4360 0.3588  4 H 1.59-1.62
Ga 0.7500 0.5640 0.6412  4 H 1.59-1.62
Ga 0.7500 0.3588 0.9229  4 H 1.59-1.62
Ga 0.7500 0.0771 0.4360  4 H 1.59-1.62
H 0.2500 0.0868 0.7557  1 Ga 1.61
H 0.7500 0.9856 0.5527  1 Ga 1.62
H 0.4458 0.8045 0.5248  1 Ga 1.59
H 0.0542 0.8045 0.5248  1 Ga 1.59
H 0.7500 0.4473 0.4329  1 Ga 1.62
H 0.0542 0.7203 0.1955  1 Ga 1.59
H 0.4458 0.7203 0.1955  1 Ga 1.59
H 0.2500 0.6689 0.9132  1 Ga 1.61
H 0.4458 0.4752 0.2797  1 Ga 1.59
H 0.0542 0.4752 0.2797  1 Ga 1.59
H 0.7500 0.7557 0.6689  1 Ga 1.61
H 0.2500 0.4329 0.9856  1 Ga 1.62
H 0.7500 0.5671 0.0144  1 Ga 1.62
H 0.2500 0.2443 0.3311  1 Ga 1.61
H 0.9458 0.5248 0.7203  1 Ga 1.59
H 0.5542 0.5248 0.7203  1 Ga 1.59
H 0.7500 0.3311 0.0868  1 Ga 1.61
H 0.5542 0.2797 0.8045  1 Ga 1.59
H 0.9458 0.2797 0.8045  1 Ga 1.59
H 0.2500 0.5527 0.5671  1 Ga 1.62
H 0.5542 0.1955 0.4752  1 Ga 1.59
H 0.9458 0.1955 0.4752  1 Ga 1.59
H 0.2500 0.0144 0.4473  1 Ga 1.62
H 0.7500 0.9132 0.2443  1 Ga 1.61

## Properties
total energy	-3.4244	eV per atom
space group	P6_3/m (176)

No. 2
VASP calculation (PBE) on a relaxed structure of NaSiSeN2.

Lattice parameters (Å, degrees): 4.2956 4.2956 5.5293 90.00 90.00 90.00
Closest atoms and distances in Å follow each position.
Element x y z (fractional)
Na 0.0000 0.0000 0.0000  4 N 2.15
Si 0.5000 0.5000 0.5000  4 Se 3.04
Se 0.0000 0.0000 0.5000  2 Na 2.76, 4 Si 3.04
N 0.0000 0.5000 0.0000  2 Na 2.15
N 0.5000 0.0000 0.0000  2 Na 2.15

## Properties
polymorph energy (0 for the lowest one)	1589.8	meV/atom
total energy	-3.3597	eV per atom
space group	P4/mmm (123)
ΔE_f (raw)	972	kJ/mol of formula units

No. 3
VASP calculation (PBE) on a relaxed structure of PPt.

Lattice parameters (Å, degrees): 2.8581 2.8581 4.3944 90.00 90.00 122.07
Closest atoms and distances in Å follow each position.
Element x y z (fractional)
P 0.0000 0.0000 0.0000  4 Pt 2.60, 6 P 2.77-2.86
Pt 0.5000 0.5000 0.5000  4 P 2.60, 6 Pt 2.77-2.86

## Properties
total energy	-5.4986	eV per atom
energy of formation	0.227	eV per atom
space group	Cmmm (65)

No. 4
VASP calculation (PBE) on a relaxed structure of Cu2SnPt8.

Lattice parameters (Å, degrees): 4.0064 6.2369 7.3706 105.01 105.77 90.00
Closest atoms and distances in Å follow each position.
Element x y z (fractional)
Cu 0.7728 0.3633 0.5456  10 Pt 2.68-2.83, 2 Cu 2.82
Cu 0.2272 0.6367 0.4544  10 Pt 2.68-2.83, 2 Cu 2.82
Sn 0.5000 0.0000 0.0000  12 Pt 2.79-2.88
Pt 0.4036 0.5434 0.8072  3 Cu 2.72-2.76, 8 Pt 2.76-2.93, 1 Sn 2.81
Pt 0.6833 0.9163 0.3666  3 Cu 2.73-2.83, 8 Pt 2.75-2.82, 1 Sn 2.79
Pt 0.8574 0.8021 0.7148  3 Cu 2.68-2.73, 7 Pt 2.75-2.90, 2 Sn 2.88
Pt 0.9508 0.2766 0.9015  1 Cu 2.72, 9 Pt 2.76-2.90, 2 Sn 2.85
Pt 0.1426 0.1979 0.2852  3 Cu 2.68-2.73, 7 Pt 2.75-2.90, 2 Sn 2.88
Pt 0.3167 0.0837 0.6334  3 Cu 2.73-2.83, 8 Pt 2.75-2.82, 1 Sn 2.79
Pt 0.5964 0.4566 0.1928  3 Cu 2.72-2.76, 8 Pt 2.76-2.93, 1 Sn 2.81
Pt 0.0492 0.7234 0.0985  1 Cu 2.72, 9 Pt 2.76-2.90, 2 Sn 2.85

## Properties
total energy	-5.6802	eV per atom
energy of formation	-0.178	eV per atom
space group	C2/m (12)

No. 5
VASP calculation (PBE) on a relaxed structure of SiTc2P.

Lattice parameters (Å, degrees): 2.9546 2.9546 5.9439 90.00 90.00 90.00
Closest atoms and distances in Å follow each position.
Element x y z (fractional)
P 0.5000 0.5000 0.2500  8 Tc 2.55
Si 0.5000 0.5000 0.7500  8 Tc 2.58
Tc 0.0000 0.0000 0.0053  4 P 2.55, 4 Si 2.58
Tc 0.0000 0.0000 0.4947  4 P 2.55, 4 Si 2.58

## Properties
polymorph energy (0 for the lowest one)	78.9	meV/atom
total energy	-8.3147	eV per atom
space group	P4/mmm (123)
ΔE_f (raw)	-163	kJ/mol of formula units